i.
This record from Alexandria describes crystalline Bi2Sb2Pb at its relaxed geometry. The functional is PBE.

Lattice parameters (Å, degrees): 9.134 9.134 9.134 152.40 152.40 39.44
Positions (direct):
Bi 0.095 0.095 0.000
Bi 0.905 0.905 0.000
Sb 0.250 0.750 0.500
Sb 0.750 0.250 0.500
Pb 0.500 0.500 0.000

Output
* space group: I4/mmm, No. 139


ii.
This record from Alexandria describes crystalline Bi2Sb2Pb at its relaxed geometry. The functional is PBE.

Lattice parameters (Å, degrees): 8.792 8.792 4.111 90.00 90.00 90.00
Positions (direct):
Bi 0.143 0.357 0.000
Bi 0.357 0.857 0.000
Bi 0.643 0.143 0.000
Bi 0.857 0.643 0.000
Sb 0.171 0.671 0.500
Sb 0.329 0.171 0.500
Sb 0.671 0.829 0.500
Sb 0.829 0.329 0.500
Pb 0.000 0.000 0.000
Pb 0.500 0.500 0.000

Output
* space group: P4/mbm, No. 127


Name the most stable of them. ii.


i.
This record from Alexandria describes crystalline BiSb2Pb2 at its relaxed geometry. The functional is PBE.

Lattice parameters (Å, degrees): 8.612 8.612 4.305 90.00 90.00 90.00
Positions (direct):
Bi 0.000 0.000 0.000
Bi 0.500 0.500 0.000
Sb 0.159 0.341 0.000
Sb 0.341 0.841 0.000
Sb 0.659 0.159 0.000
Sb 0.841 0.659 0.000
Pb 0.146 0.646 0.500
Pb 0.354 0.146 0.500
Pb 0.646 0.854 0.500
Pb 0.854 0.354 0.500

Output
* space group: P4/mbm, No. 127


ii.
This record from Alexandria describes crystalline BiSb2Pb2 at its relaxed geometry. The functional is PBE.

Lattice parameters (Å, degrees): 9.447 9.447 9.447 153.84 153.84 37.33
Positions (direct):
Bi 0.000 0.000 0.000
Sb 0.250 0.750 0.500
Sb 0.750 0.250 0.500
Pb 0.402 0.402 0.000
Pb 0.598 0.598 0.000

Output
* space group: I4/mmm, No. 139


iii.
This record from Alexandria describes crystalline BiSb2Pb2 at its relaxed geometry. The functional is PBE.

Lattice parameters (Å, degrees): 5.232 3.373 8.989 90.00 106.14 90.00
Positions (direct):
Bi 0.000 0.000 0.000
Sb 0.196 0.000 0.393
Sb 0.804 0.000 0.607
Pb 0.393 0.500 0.789
Pb 0.607 0.500 0.211

Output
* space group: P2/m, No. 10


Name the most stable of them. iii.


i.
This record from Alexandria describes crystalline BiSb2Pb2 at its relaxed geometry. The functional is PBE.

Lattice parameters (Å, degrees): 9.528 9.528 3.461 90.00 90.00 90.00
Positions (direct):
Bi 0.000 0.000 0.000
Bi 0.500 0.500 0.000
Sb 0.165 0.335 0.500
Sb 0.335 0.835 0.500
Sb 0.665 0.165 0.500
Sb 0.835 0.665 0.500
Pb 0.136 0.636 0.000
Pb 0.364 0.136 0.000
Pb 0.636 0.864 0.000
Pb 0.864 0.364 0.000

Output
* space group: P4/mbm, No. 127


ii.
This record from Alexandria describes crystalline BiSb2Pb2 at its relaxed geometry. The functional is PBE.

Lattice parameters (Å, degrees): 8.794 8.794 8.794 150.78 150.78 41.80
Positions (direct):
Bi 0.000 0.000 0.000
Sb 0.408 0.408 0.000
Sb 0.592 0.592 0.000
Pb 0.250 0.750 0.500
Pb 0.750 0.250 0.500

Output
* space group: I4/mmm, No. 139


Name the most stable of them. i.


i.
This record from Alexandria describes crystalline Bi3SbPb at its relaxed geometry. The functional is PBE.

Lattice parameters (Å, degrees): 5.863 5.863 5.863 90.00 90.00 90.00
Positions (direct):
Bi 0.000 0.000 0.500
Bi 0.000 0.500 0.000
Bi 0.500 0.000 0.000
Sb 0.000 0.000 0.000
Pb 0.500 0.500 0.500

Output
* space group: Pm-3m, No. 221


ii.
This record from Alexandria describes crystalline Bi3SbPb at its relaxed geometry. The functional is PBE.

Lattice parameters (Å, degrees): 8.381 3.388 12.012 90.00 104.79 90.00
Positions (direct):
Bi 0.139 0.250 0.142
Bi 0.260 0.250 0.418
Bi 0.260 0.750 0.908
Bi 0.740 0.250 0.092
Bi 0.740 0.750 0.582
Bi 0.861 0.750 0.858
Sb 0.132 0.750 0.644
Sb 0.868 0.250 0.356
Pb 0.495 0.250 0.734
Pb 0.505 0.750 0.266

Output
* space group: P2_1/m, No. 11


Name the most stable of them. ii.


i.
This record from Alexandria describes crystalline Bi2SbPb2 at its relaxed geometry. The functional is PBE.

Lattice parameters (Å, degrees): 9.077 9.077 9.077 151.82 151.82 40.27
Positions (direct):
Bi 0.093 0.093 0.000
Bi 0.907 0.907 0.000
Sb 0.500 0.500 0.000
Pb 0.250 0.750 0.500
Pb 0.750 0.250 0.500

Output
* space group: I4/mmm, No. 139


ii.
This record from Alexandria describes crystalline Bi2SbPb2 at its relaxed geometry. The functional is PBE.

Lattice parameters (Å, degrees): 9.741 9.741 3.458 90.00 90.00 90.00
Positions (direct):
Bi 0.160 0.340 0.000
Bi 0.340 0.840 0.000
Bi 0.660 0.160 0.000
Bi 0.840 0.660 0.000
Sb 0.000 0.000 0.500
Sb 0.500 0.500 0.500
Pb 0.139 0.639 0.500
Pb 0.361 0.139 0.500
Pb 0.639 0.861 0.500
Pb 0.861 0.361 0.500

Output
* space group: P4/mbm, No. 127


Name the most stable of them. i.


i.
This record from Alexandria describes crystalline Bi2SbPb2 at its relaxed geometry. The functional is PBE.

Lattice parameters (Å, degrees): 8.676 8.676 4.392 90.00 90.00 90.00
Positions (direct):
Bi 0.154 0.346 0.000
Bi 0.346 0.846 0.000
Bi 0.654 0.154 0.000
Bi 0.846 0.654 0.000
Sb 0.000 0.000 0.000
Sb 0.500 0.500 0.000
Pb 0.147 0.647 0.500
Pb 0.353 0.147 0.500
Pb 0.647 0.853 0.500
Pb 0.853 0.353 0.500

Output
* space group: P4/mbm, No. 127


ii.
This record from Alexandria describes crystalline Bi2SbPb2 at its relaxed geometry. The functional is PBE.

Lattice parameters (Å, degrees): 3.396 6.957 7.097 87.11 77.67 81.66
Positions (direct):
Bi 0.013 0.292 0.103
Bi 0.987 0.708 0.897
Sb 0.000 0.500 0.500
Pb 0.436 0.875 0.310
Pb 0.564 0.125 0.690

Output
* space group: P-1, No. 2


Name the most stable of them. ii.


i.
This record from Alexandria describes crystalline Bi2SbPb8 at its relaxed geometry. The functional is PBE.

Lattice parameters (Å, degrees): 9.580 9.580 6.292 107.75 107.75 42.24
Positions (direct):
Bi 0.162 0.162 0.377
Bi 0.838 0.838 0.623
Sb 0.000 0.000 0.500
Pb 0.187 0.655 0.086
Pb 0.244 0.244 0.946
Pb 0.345 0.813 0.914
Pb 0.358 0.358 0.535
Pb 0.642 0.642 0.465
Pb 0.655 0.187 0.086
Pb 0.756 0.756 0.054
Pb 0.813 0.345 0.914

Output
* space group: C2/m, No. 12


ii.
This record from Alexandria describes crystalline Bi2SbPb8 at its relaxed geometry. The functional is PBE.

Lattice parameters (Å, degrees): 9.241 9.241 7.774 103.91 103.91 32.56
Positions (direct):
Bi 0.228 0.228 0.148
Bi 0.772 0.772 0.852
Sb 0.500 0.500 0.500
Pb 0.044 0.044 0.231
Pb 0.136 0.136 0.687
Pb 0.322 0.322 0.595
Pb 0.410 0.410 0.054
Pb 0.590 0.590 0.946
Pb 0.678 0.678 0.405
Pb 0.864 0.864 0.313
Pb 0.956 0.956 0.769

Output
* space group: C2/m, No. 12


Name the most stable of them. ii.


i.
This record from Alexandria describes crystalline Bi2SbPb6 at its relaxed geometry. The functional is PBE.

Lattice parameters (Å, degrees): 4.402 8.665 8.665 116.00 90.00 90.00
Positions (direct):
Bi 0.000 0.181 0.819
Bi 0.000 0.819 0.181
Sb 0.500 0.546 0.546
Pb 0.000 0.235 0.466
Pb 0.000 0.466 0.235
Pb 0.000 0.793 0.793
Pb 0.500 0.103 0.103
Pb 0.500 0.512 0.920
Pb 0.500 0.920 0.512

Output
* space group: Amm2, No. 38


ii.
This record from Alexandria describes crystalline Bi2SbPb6 at its relaxed geometry. The functional is PBE.

Lattice parameters (Å, degrees): 8.151 7.183 12.587 90.00 123.84 90.00
Positions (direct):
Bi 0.247 0.047 0.234
Bi 0.247 0.453 0.734
Bi 0.753 0.547 0.266
Bi 0.753 0.953 0.766
Sb 0.500 0.000 0.000
Sb 0.500 0.500 0.500
Pb 0.132 0.234 0.937
Pb 0.132 0.266 0.437
Pb 0.168 0.704 0.919
Pb 0.168 0.796 0.419
Pb 0.307 0.519 0.206
Pb 0.307 0.981 0.706
Pb 0.693 0.019 0.294
Pb 0.693 0.481 0.794
Pb 0.832 0.204 0.581
Pb 0.832 0.296 0.081
Pb 0.868 0.734 0.563
Pb 0.868 0.766 0.063

Output
* space group: P2_1/c, No. 14


Name the most stable of them. i.


i.
This record from Alexandria describes crystalline BiSb2Pb5 at its relaxed geometry. The functional is PBE.

Lattice parameters (Å, degrees): 7.098 7.098 13.566 90.00 90.00 131.71
Positions (direct):
Bi 0.186 0.814 0.750
Bi 0.814 0.186 0.250
Sb 0.331 0.669 0.128
Sb 0.331 0.669 0.372
Sb 0.669 0.331 0.628
Sb 0.669 0.331 0.872
Pb 0.069 0.931 0.250
Pb 0.132 0.868 0.505
Pb 0.132 0.868 0.995
Pb 0.424 0.576 0.617
Pb 0.424 0.576 0.883
Pb 0.576 0.424 0.117
Pb 0.576 0.424 0.383
Pb 0.868 0.132 0.005
Pb 0.868 0.132 0.495
Pb 0.931 0.069 0.750

Output
* space group: Cmcm, No. 63


ii.
This record from Alexandria describes crystalline BiSb2Pb5 at its relaxed geometry. The functional is PBE.

Lattice parameters (Å, degrees): 6.907 13.734 5.409 90.00 90.00 90.00
Positions (direct):
Bi 0.000 0.000 0.000
Bi 0.500 0.500 0.000
Sb 0.062 0.357 0.500
Sb 0.438 0.857 0.500
Sb 0.562 0.143 0.500
Sb 0.938 0.643 0.500
Pb 0.000 0.500 0.000
Pb 0.111 0.127 0.500
Pb 0.139 0.759 0.000
Pb 0.361 0.259 0.000
Pb 0.389 0.627 0.500
Pb 0.500 0.000 0.000
Pb 0.611 0.373 0.500
Pb 0.639 0.741 0.000
Pb 0.861 0.241 0.000
Pb 0.889 0.873 0.500

Output
* space group: Pbam, No. 55


Name the most stable of them. ii.


i.
This record from Alexandria describes crystalline Sc2BiPb2 at its relaxed geometry. The functional is PBE.

Lattice parameters (Å, degrees): 8.952 8.952 3.394 90.00 90.00 90.00
Positions (direct):
Sc 0.136 0.364 0.000
Sc 0.364 0.864 0.000
Sc 0.636 0.136 0.000
Sc 0.864 0.636 0.000
Bi 0.000 0.000 0.500
Bi 0.500 0.500 0.500
Pb 0.161 0.661 0.500
Pb 0.339 0.161 0.500
Pb 0.661 0.839 0.500
Pb 0.839 0.339 0.500

Output
* space group: P4/mbm, No. 127


ii.
This record from Alexandria describes crystalline Sc2BiPb2 at its relaxed geometry. The functional is PBE.

Lattice parameters (Å, degrees): 7.723 7.723 4.522 90.00 90.00 90.00
Positions (direct):
Sc 0.157 0.343 0.000
Sc 0.343 0.843 0.000
Sc 0.657 0.157 0.000
Sc 0.843 0.657 0.000
Bi 0.000 0.000 0.000
Bi 0.500 0.500 0.000
Pb 0.151 0.651 0.500
Pb 0.349 0.151 0.500
Pb 0.651 0.849 0.500
Pb 0.849 0.349 0.500

Output
* space group: P4/mbm, No. 127


iii.
This record from Alexandria describes crystalline Sc2BiPb2 at its relaxed geometry. The functional is PBE.

Lattice parameters (Å, degrees): 6.219 6.219 6.219 126.09 126.09 79.74
Positions (direct):
Sc 0.250 0.750 0.500
Sc 0.750 0.250 0.500
Bi 0.000 0.000 0.000
Pb 0.337 0.337 0.000
Pb 0.663 0.663 0.000

Output
* space group: I4/mmm, No. 139


Name the most stable of them. ii.